Entry i
Entry from the Alexandria database: LiFe2Mo2 after structural relaxation (PBE).

Geometry as POSCAR:
```
LiFe2Mo2
1.0
7.1342 0.0000 0.0000
0.0000 7.1342 0.0000
0.0000 0.0000 2.7261
Li Fe Mo
2 4 4
Cartesian
0.0000 0.0000 0.0000 Li
3.5671 3.5671 0.0000 Li
0.9710 2.5961 0.0000 Fe
2.5961 6.1632 0.0000 Fe
4.5381 0.9710 0.0000 Fe
6.1632 4.5381 0.0000 Fe
1.1384 4.7055 1.3631 Mo
2.4287 1.1384 1.3631 Mo
4.7055 5.9959 1.3631 Mo
5.9959 2.4287 1.3631 Mo
```

Values from the calculation:
Spin magnetization, μB per cell: 0.0

Entry ii
Entry from the Alexandria database: LiFe2Mo2 after structural relaxation (PBE).

Geometry as POSCAR:
```
LiFe2Mo2
1.0
7.2870 0.0000 0.0000
0.0000 7.2870 0.0000
0.0000 0.0000 2.6532
Li Fe Mo
2 4 4
Cartesian
0.0000 0.0000 0.0000 Li
3.6435 3.6435 0.0000 Li
1.0317 2.6118 1.3266 Fe
2.6118 6.2553 1.3266 Fe
4.6752 1.0317 1.3266 Fe
6.2553 4.6752 1.3266 Fe
1.1076 4.7511 0.0000 Mo
2.5359 1.1076 0.0000 Mo
4.7511 6.1794 0.0000 Mo
6.1794 2.5359 0.0000 Mo
```

Values from the calculation:
Spin magnetization, μB per cell: 0.0

entry i ends up most stable, edging out the next structure by 5.0 kJ/mol of atoms.

Entry i
Entry from the Alexandria database: LiFeMo2 after structural relaxation (PBE).

Geometry as POSCAR:
```
LiFeMo2
1.0
2.5658 0.0000 0.0000
0.0000 4.3328 0.0000
-1.0559 0.0000 5.0500
Li Fe Mo
1 1 2
Cartesian
0.0000 0.0000 0.0000 Li
0.7550 0.0000 2.5250 Fe
-0.1872 2.1664 3.7708 Mo
1.6972 2.1664 1.2793 Mo
```

Values from the calculation:
Spin magnetization, μB per cell: 1.8

Entry ii
Entry from the Alexandria database: LiFeMo2 after structural relaxation (PBE).

Geometry as POSCAR:
```
LiFeMo2
1.0
0.0000 3.0313 3.0313
3.0313 0.0000 3.0313
3.0313 3.0313 0.0000
Li Fe Mo
1 1 2
Cartesian
0.0000 0.0000 0.0000 Li
4.5469 4.5469 4.5469 Fe
1.5156 1.5156 1.5156 Mo
3.0313 3.0313 3.0313 Mo
```

Values from the calculation:
Spin magnetization, μB per cell: 2.3

entry i ends up most stable, edging out the next structure by 10.2 kJ/mol of atoms.

Entry i
Entry from the Alexandria database: LiFeMo2 after structural relaxation (PBE).

Geometry as POSCAR:
```
LiFeMo2
1.0
3.2253 0.0000 0.0000
0.0000 3.2253 0.0000
0.0000 0.0000 5.3574
Li Fe Mo
1 1 2
Cartesian
0.0000 0.0000 0.0000 Li
0.0000 0.0000 2.6787 Fe
1.6126 1.6126 1.4465 Mo
1.6126 1.6126 3.9109 Mo
```

Values from the calculation:
Spin magnetization, μB per cell: 1.6

Entry ii
Entry from the Alexandria database: LiFeMo2 after structural relaxation (PBE).

Geometry as POSCAR:
```
LiFeMo2
1.0
2.5249 0.0000 0.0000
0.0000 4.1874 0.0000
0.0000 0.0000 5.3709
Li Fe Mo
1 1 2
Cartesian
0.0000 0.0000 0.0000 Li
1.2624 2.0937 4.1504 Fe
0.0000 0.0000 2.7708 Mo
1.2624 2.0937 1.3270 Mo
```

Values from the calculation:
Spin magnetization, μB per cell: 2.0

entry ii ends up most stable, edging out the next structure by 7.3 kJ/mol of atoms.

Entry i
Entry from the Alexandria database: LiFeMo2 after structural relaxation (PBE).

Geometry as POSCAR:
```
LiFeMo2
1.0
3.1729 0.0000 0.0000
0.0000 3.1729 0.0000
0.0000 0.0000 5.5695
Li Fe Mo
1 1 2
Cartesian
0.0000 0.0000 0.0000 Li
1.5864 1.5864 4.3346 Fe
0.0000 0.0000 2.8690 Mo
1.5864 1.5864 1.4503 Mo
```

Values from the calculation:
Spin magnetization, μB per cell: 2.3

Entry ii
Entry from the Alexandria database: LiFeMo2 after structural relaxation (PBE).

Geometry as POSCAR:
```
LiFeMo2
1.0
-3.4193 3.4193 2.5412
3.4193 -3.4193 2.5412
3.4193 3.4193 -2.5412
Li Fe Mo
2 2 4
Cartesian
0.0000 0.0000 0.0000 Li
0.0000 3.4193 1.2706 Li
3.4193 0.0000 1.2706 Fe
0.0000 0.0000 2.5412 Fe
1.7097 1.9870 -0.6353 Mo
4.8517 1.7097 0.6353 Mo
1.7097 1.4323 1.9059 Mo
-1.4323 1.7097 3.1765 Mo
```

Values from the calculation:
Spin magnetization, μB per cell: 0.0

entry i ends up most stable, edging out the next structure by 30.4 kJ/mol of atoms.